Density functional theory data (PBE-GGA) for a relaxed NpCoAsH crystal.

CIF file:
```
data_NpCoAsH
_cell_length_a 4.0934
_cell_length_b 4.0934
_cell_length_c 3.7503
_cell_angle_alpha 90.00
_cell_angle_beta 90.00
_cell_angle_gamma 120.00
_space_group_name_H-M_alt 'P 3 m 1'
_space_group_IT_number 156
loop_
_space_group_symop_operation_xyz
'x,y,z'
'-y,x-y,z'
'-x+y,-x,z'
'-y,-x,z'
'-x+y,y,z'
'x,x-y,z'
loop_
_atom_site_label
_atom_site_type_symbol
_atom_site_fract_x
_atom_site_fract_y
_atom_site_fract_z
Np1 Np 0.0000 0.0000 0.0000
Co1 Co 0.6667 0.3333 0.4453
As1 As 0.3333 0.6667 0.5116
H1 H 0.6667 0.3333 0.9883
```

Values from the calculation:
Total energy: -30.04 eV per cell